Record 1
Density functional theory data (PBE) for a relaxed LiAlCoGe crystal.

The structure in POSCAR format:
```
LiAlCoGe
1.0
4.128 0.000 0.000
2.064 3.575 0.000
2.064 1.192 3.370
Ge Co Al Li
1 1 1 1
Cartesian
2.064 1.192 0.843
0.000 0.000 0.000
6.192 3.575 2.528
4.128 2.383 1.685
```

***

Record 2
Density functional theory data (PBE) for a relaxed Na2AlCoGe crystal.

The structure in POSCAR format:
```
Na2AlCoGe
1.0
5.765 0.000 0.000
0.000 4.608 0.000
0.000 0.000 5.765
Na Ge Co Al
2 1 1 1
Cartesian
0.000 0.000 2.882
2.882 0.000 0.000
0.000 2.304 0.000
2.882 2.304 2.882
0.000 0.000 0.000
```

***

| no. | E_form (kJ/mol of atoms) |
| --- | --- |
| 1 | -30.3 |
| 2 | 97.3 |